CdSn2IrBr after structural relaxation, computed with PBE.

a = 5.120 Å, b = 5.529 Å, c = 5.120 Å
α = 90.00°, β = 90.00°, γ = 90.00°
Element x y z (fractional)
Cd 0.500 0.500 0.500
Br 0.000 0.500 0.000
Ir 0.000 0.000 0.000
Sn 0.500 0.000 0.000
Sn 0.000 0.000 0.500

Calculated values
Electronic total energy: -3.74 eV/atom
DOS at the Fermi energy: 0.352 states/eV/atom
Symmetry: P4/mmm, No. 123